1.
A relaxed structure of Nd3Tm. Source: Alexandria, functional PBE.

abc: 7.3648 7.3648 5.8426
angles: 90.00 90.00 120.00
Fractional coordinates of all 8 atoms:
Nd1 0.1679 0.3358 0.2500
Nd2 0.1679 0.8321 0.2500
Nd3 0.3358 0.1679 0.7500
Nd4 0.6642 0.8321 0.2500
Nd5 0.8321 0.1679 0.7500
Nd6 0.8321 0.6642 0.7500
Tm1 0.3333 0.6667 0.7500
Tm2 0.6667 0.3333 0.2500

total moment: 0.000 μB/atom
space-group type: P6_3/mmc, No. 194
uncorrected energy: -37.36 eV per cell
energy above the lowest structure with this stoichiometry: 9.3 meV per atom
density: 7.3 g cm⁻³
DOS at the Fermi energy: 13.653 states/eV/cell
formation enthalpy at 0 K: 0.0240 eV per atom

=====

2.
A relaxed structure of Nd8Tm3. Source: Alexandria, functional PBE.

abc: 7.6172 7.6172 7.6172
angles: 105.31 105.31 105.31
Fractional coordinates of all 11 atoms:
Nd1 0.1822 0.6767 0.5747
Nd2 0.2260 0.2260 0.2260
Nd3 0.3233 0.4253 0.8178
Nd4 0.4253 0.8178 0.3233
Nd5 0.5747 0.1822 0.6767
Nd6 0.6767 0.5747 0.1822
Nd7 0.7740 0.7740 0.7740
Nd8 0.8178 0.3233 0.4253
Tm1 0.0000 0.0000 0.5000
Tm2 0.0000 0.5000 0.0000
Tm3 0.5000 0.0000 0.0000

total moment: 0.000 μB/atom
space-group type: R-3, No. 148
uncorrected energy: -47.68 eV per cell
energy above the lowest structure with this stoichiometry: 0.0 meV per atom
density: 7.2 g cm⁻³
DOS at the Fermi energy: 11.530 states/eV/cell
formation enthalpy at 0 K: 0.3520 eV per atom

=====

3.
A relaxed structure of Nd7Tm2. Source: Alexandria, functional PBE.

abc: 6.3038 6.3038 8.9109
angles: 90.00 90.00 120.00
Fractional coordinates of all 9 atoms:
Nd1 0.0000 0.0000 0.0000
Nd2 0.0000 0.3343 0.6708
Nd3 0.0000 0.6657 0.3292
Nd4 0.3343 0.0000 0.6708
Nd5 0.3343 0.3343 0.3292
Nd6 0.6657 0.0000 0.3292
Nd7 0.6657 0.6657 0.6708
Tm1 0.3333 0.6667 0.0000
Tm2 0.6667 0.3333 0.0000

total moment: 0.000 μB/atom
space-group type: P-31m, No. 162
uncorrected energy: -42.15 eV per cell
energy above the lowest structure with this stoichiometry: 0.0 meV per atom
density: 7.3 g cm⁻³
DOS at the Fermi energy: 12.866 states/eV/cell
formation enthalpy at 0 K: 0.0188 eV per atom

=====

4.
A relaxed structure of Nd3Tm8. Source: Alexandria, functional PBE.

abc: 33.2845 33.2845 33.2845
angles: 6.01 6.01 6.01
Fractional coordinates of all 11 atoms:
Nd1 0.0000 0.0000 0.0000
Nd2 0.2713 0.2713 0.2713
Nd3 0.7287 0.7287 0.7287
Tm1 0.0339 0.0339 0.0339
Tm2 0.1810 0.1810 0.1810
Tm3 0.2369 0.2369 0.2369
Tm4 0.4573 0.4573 0.4573
Tm5 0.5427 0.5427 0.5427
Tm6 0.7631 0.7631 0.7631
Tm7 0.8190 0.8190 0.8190
Tm8 0.9661 0.9661 0.9661

total moment: 0.000 μB/atom
space-group type: R-3m, No. 166
uncorrected energy: -48.81 eV per cell
energy above the lowest structure with this stoichiometry: 0.0 meV per atom
density: 8.5 g cm⁻³
DOS at the Fermi energy: 15.834 states/eV/cell
formation enthalpy at 0 K: 0.1147 eV per atom

=====

5.
A relaxed structure of Nd2Tm13. Source: Alexandria, functional PBE.

abc: 6.5194 8.6399 8.9026
angles: 69.11 84.32 80.83
Fractional coordinates of all 15 atoms:
Nd1 0.1973 0.3067 0.3954
Nd2 0.8027 0.6933 0.6046
Tm1 0.0000 0.5000 0.0000
Tm2 0.0955 0.9265 0.6934
Tm3 0.1370 0.6981 0.2635
Tm4 0.2381 0.0756 0.9758
Tm5 0.3354 0.4970 0.6694
Tm6 0.4298 0.9227 0.3589
Tm7 0.4644 0.6971 0.9346
Tm8 0.5356 0.3029 0.0654
Tm9 0.5702 0.0773 0.6411
Tm10 0.6646 0.5030 0.3306
Tm11 0.7619 0.9244 0.0242
Tm12 0.8630 0.3019 0.7365
Tm13 0.9045 0.0735 0.3066

total moment: 0.000 μB/atom
space-group type: P-1, No. 2
uncorrected energy: -66.92 eV per cell
density: 8.9 g cm⁻³
DOS at the Fermi energy: 27.876 states/eV/cell
formation enthalpy at 0 K: 0.0499 eV per atom

=====

6.
A relaxed structure of Nd3Tm. Source: Alexandria, functional PBE.

abc: 6.9167 6.9167 6.9167
angles: 149.10 63.93 125.55
Fractional coordinates of all 4 atoms:
Nd1 0.0000 0.0000 0.0000
Nd2 0.0873 0.3343 0.7530
Nd3 0.5813 0.3343 0.2470
Tm1 0.5020 0.0020 0.5000

total moment: 0.000 μB/atom
space-group type: Imm2, No. 44
uncorrected energy: -18.66 eV per cell
energy above the lowest structure with this stoichiometry: 14.4 meV per atom
density: 7.3 g cm⁻³
DOS at the Fermi energy: 6.747 states/eV/cell
formation enthalpy at 0 K: 0.0290 eV per atom

=====

7.
A relaxed structure of Nd5Tm6. Source: Alexandria, functional PBE.

abc: 9.4364 9.4364 9.4364
angles: 145.63 129.09 62.87
Fractional coordinates of all 11 atoms:
Nd1 0.0000 0.0000 0.0000
Nd2 0.1627 0.6627 0.5000
Nd3 0.3019 0.3019 0.0000
Nd4 0.6981 0.6981 0.0000
Nd5 0.8373 0.3373 0.5000
Tm1 0.1585 0.8637 0.2949
Tm2 0.2940 0.5000 0.7940
Tm3 0.4312 0.1363 0.2949
Tm4 0.5688 0.8637 0.7051
Tm5 0.7060 0.5000 0.2060
Tm6 0.8415 0.1363 0.7051

total moment: 0.000 μB/atom
space-group type: Immm, No. 71
uncorrected energy: -49.39 eV per cell
density: 7.9 g cm⁻³
DOS at the Fermi energy: 14.368 states/eV/cell
formation enthalpy at 0 K: 0.1160 eV per atom

=====

8.
A relaxed structure of NdTm2. Source: Alexandria, functional PBE.

abc: 7.9139 7.9139 7.1097
angles: 103.14 103.14 25.98
Fractional coordinates of all 6 atoms:
Nd1 0.1660 0.1660 0.0848
Nd2 0.8340 0.8340 0.9152
Tm1 0.1652 0.1652 0.5806
Tm2 0.4999 0.4999 0.2551
Tm3 0.5001 0.5001 0.7449
Tm4 0.8348 0.8348 0.4194

total moment: 0.000 μB/atom
space-group type: C2/m, No. 12
uncorrected energy: -27.28 eV per cell
energy above the lowest structure with this stoichiometry: 28.8 meV per atom
density: 8.4 g cm⁻³
DOS at the Fermi energy: 8.273 states/eV/cell
formation enthalpy at 0 K: 0.0239 eV per atom

=====

Copy entry 8 word for word.
A relaxed structure of NdTm2. Source: Alexandria, functional PBE.

abc: 7.9139 7.9139 7.1097
angles: 103.14 103.14 25.98
Fractional coordinates of all 6 atoms:
Nd1 0.1660 0.1660 0.0848
Nd2 0.8340 0.8340 0.9152
Tm1 0.1652 0.1652 0.5806
Tm2 0.4999 0.4999 0.2551
Tm3 0.5001 0.5001 0.7449
Tm4 0.8348 0.8348 0.4194

total moment: 0.000 μB/atom
space-group type: C2/m, No. 12
uncorrected energy: -27.28 eV per cell
energy above the lowest structure with this stoichiometry: 28.8 meV per atom
density: 8.4 g cm⁻³
DOS at the Fermi energy: 8.273 states/eV/cell
formation enthalpy at 0 K: 0.0239 eV per atom

=====

- Look up the DOS at the Fermi energy of the second one.
  11.530 states/eV/cell

=====

- What is the formula in the sixth record?
  Nd3Tm

=====

- Look up the total moment of the fourth one.
  0.000 μB/atom